Material: Tl13Sb3
Method: DFT, PBE
State: optimized geometry

Computed properties:
Calculated volume   30.854 Å³ per atom
Formation energy (no corrections)   3.5 meV/atom
Final energy   -43.072 eV/cell

Structure (POSCAR):
```
Tl13Sb3
1.0
9.7129 0.0000 0.0000
0.0000 5.1749 4.9109
0.0000 -5.1749 4.9109
Tl Sb
13 3
direct
0.0000 0.0000 0.0000
0.0000 0.0110 0.4978
0.0000 0.4978 0.0110
0.0000 0.5053 0.5053
0.2519 0.2528 0.7526
0.2519 0.7526 0.2528
0.2654 0.7576 0.7576
0.5000 0.0041 0.4986
0.5000 0.4861 0.4861
0.5000 0.4986 0.0041
0.7346 0.7576 0.7576
0.7481 0.2528 0.7526
0.7481 0.7526 0.2528
0.2519 0.2409 0.2409
0.5000 0.0279 0.0279
0.7481 0.2409 0.2409
```

=====

Material: YInSb
Method: DFT, PBE
State: optimized geometry

Computed properties:
Calculated volume   27.886 Å³ per atom
Formation energy (no corrections)   -198.0 meV/atom
Final energy   -13.919 eV/cell

Structure (POSCAR):
```
YInSb
1.0
3.5175 0.0000 0.0000
-1.7588 3.0463 0.0000
0.0000 0.0000 7.8073
Y In Sb
1 1 1
direct
0.0000 0.0000 0.0000
0.6667 0.3333 0.3347
0.3333 0.6667 0.6765
```

=====

Material: MnSiGe2
Method: DFT, PBE
State: optimized geometry

Computed properties:
Calculated volume   15.520 Å³ per atom
Formation energy (no corrections)   -9.5 meV/atom
Final energy   -47.731 eV/cell
E above lowest polymorph   69 meV per atom

Structure (POSCAR):
```
MnSiGe2
1.0
4.7953 0.0000 0.0000
1.6192 4.5208 0.0000
1.5761 1.1027 5.7273
Mn Si Ge
2 2 4
direct
0.0000 0.0000 0.0000
0.4614 0.4630 0.0506
0.3320 0.8065 0.6846
0.4996 0.9649 0.0179
0.1466 0.6624 0.3940
0.6343 0.1127 0.3926
0.8101 0.3301 0.6608
0.9551 0.5040 0.0329
```

=====

Material: AlAsPt2
Method: DFT, PBE
State: optimized geometry

Computed properties:
Energy of formation   -294 meV/atom
Calculated volume   16.441 Å³ per atom
Final energy   -21.649 eV/cell
E above lowest polymorph   255 meV per atom

Structure (POSCAR):
```
AlAsPt2
1.0
2.9444 0.0000 0.0000
0.0000 2.9444 0.0000
0.0000 0.0000 7.5859
Al As Pt
1 1 2
direct
0.0000 0.0000 0.0000
0.5000 0.5000 0.3026
0.0000 0.0000 0.5229
0.5000 0.5000 0.8033
```

=====

Material: KCuRhF2
Method: DFT, PBE
State: optimized geometry

Computed properties:
Calculated volume   21.824 Å³ per atom
Formation energy (no corrections)   194.6 meV/atom
Final energy   -15.315 eV/cell

Structure (POSCAR):
```
KCuRhF2
1.0
4.6160 0.0000 0.0000
0.0000 4.6160 0.0000
0.0000 0.0000 5.1214
K Cu Rh F
1 1 1 2
direct
0.0000 0.0000 0.0000
0.5000 0.5000 0.5000
0.0000 0.0000 0.5000
0.0000 0.5000 0.0000
0.5000 0.0000 0.0000
```

=====

Material: Sc2SbAu
Method: DFT, PBE
State: optimized geometry

Computed properties:
Calculated volume   32.845 Å³ per atom
Formation energy (no corrections)   -87.2 meV/atom
Final energy   -61.235 eV/cell

Structure (POSCAR):
```
Sc2SbAu
1.0
4.3682 0.0000 0.0000
-2.1841 3.7830 0.0000
0.0000 0.0000 23.8509
Sc Sb Au
6 3 3
direct
0.0000 0.0000 0.1121
0.0000 0.0000 0.8879
0.3333 0.6667 0.5546
0.3333 0.6667 0.7788
0.6667 0.3333 0.2212
0.6667 0.3333 0.4454
0.0000 0.0000 0.5000
0.3333 0.6667 0.1667
0.6667 0.3333 0.8333
0.0000 0.0000 0.0000
0.3333 0.6667 0.6667
0.6667 0.3333 0.3333
```

=====

Material: BaGaAg4
Method: DFT, PBE
State: optimized geometry

Computed properties:
Energy of formation   -7 meV/atom
Calculated volume   25.671 Å³ per atom
Final energy   -16.395 eV/cell
E above lowest polymorph   80 meV per atom

Structure (POSCAR):
```
BaGaAg4
1.0
4.9406 0.0000 0.0000
0.0000 4.9406 0.0000
0.0000 0.0000 6.3102
Ba Ga Ag
1 1 4
direct
0.0000 0.0000 0.0000
0.0000 0.0000 0.5000
0.0000 0.5000 0.5000
0.5000 0.0000 0.5000
0.5000 0.5000 0.2305
0.5000 0.5000 0.7695
```

=====

Material: SmTlH
Method: DFT, PBE
State: optimized geometry

Computed properties:
Calculated volume   25.074 Å³ per atom
Final energy   -31.951 eV/cell
E above lowest polymorph   371 meV per atom

Structure (POSCAR):
```
SmTlH
1.0
7.0021 0.0000 0.0000
-3.5011 6.0640 0.0000
0.0000 0.0000 5.3147
Sm Tl H
3 3 3
direct
0.2029 0.4058 0.3333
0.2029 0.7971 0.6667
0.5942 0.7971 0.0000
0.4287 0.2144 0.0000
0.7856 0.2144 0.6667
0.7856 0.5713 0.3333
0.2303 0.6151 0.0000
0.3849 0.6151 0.6667
0.3849 0.7697 0.3333
```

=====

Material: LiY2PbC
Method: DFT, PBE
State: optimized geometry

Computed properties:
Energy of formation   -323 meV/atom
Calculated volume   21.493 Å³ per atom
Final energy   -29.391 eV/cell

Structure (POSCAR):
```
LiY2PbC
1.0
4.9210 0.0000 0.0000
0.0000 4.9210 0.0000
0.0000 0.0000 4.4377
Li Y Pb C
1 2 1 1
direct
0.0000 0.0000 0.0000
0.0000 0.5000 0.5000
0.5000 0.0000 0.5000
0.5000 0.5000 0.0000
0.0000 0.0000 0.5000
```

=====

Material: BaZr2IrI
Method: DFT, PBE
State: optimized geometry

Computed properties:
Calculated volume   29.397 Å³ per atom
Formation energy (no corrections)   796.4 meV/atom
Final energy   -25.448 eV/cell

Structure (POSCAR):
```
BaZr2IrI
1.0
5.3625 0.0000 0.0000
0.0000 5.3625 0.0000
0.0000 0.0000 5.1113
Ba Zr Ir I
1 2 1 1
direct
0.0000 0.0000 0.0000
0.0000 0.5000 0.5000
0.5000 0.0000 0.5000
0.5000 0.5000 0.0000
0.5000 0.5000 0.5000
```

=====

Material: BaPb2W
Method: DFT, PBE
State: optimized geometry

Computed properties:
Energy of formation   597 meV/atom
Calculated volume   30.489 Å³ per atom
Final energy   -39.807 eV/cell
E above lowest polymorph   123 meV per atom

Structure (POSCAR):
```
BaPb2W
1.0
3.3698 0.0000 0.0000
0.0000 4.6102 0.0000
0.0000 0.0000 15.7001
Ba Pb W
2 4 2
direct
0.0000 0.0000 0.0000
0.5000 0.5000 0.5000
0.0000 0.0000 0.6452
0.0000 0.5000 0.8184
0.5000 0.0000 0.3184
0.5000 0.5000 0.1452
0.0000 0.5000 0.2965
0.5000 0.0000 0.7965
```

=====

Material: PaMnPdRh
Method: DFT, PBE
State: optimized geometry

Computed properties:
Energy of formation   -332 meV/atom
Calculated volume   18.271 Å³ per atom
Final energy   -130.153 eV/cell

Structure (POSCAR):
```
PaMnPdRh
1.0
6.6368 0.0000 0.0000
0.0000 6.6368 0.0000
0.0000 0.0000 6.6368
Pa Mn Pd Rh
4 4 4 4
direct
0.0000 0.0000 0.0000
0.0000 0.5000 0.5000
0.5000 0.0000 0.5000
0.5000 0.5000 0.0000
0.0000 0.0000 0.5000
0.0000 0.5000 0.0000
0.5000 0.0000 0.0000
0.5000 0.5000 0.5000
0.2500 0.2500 0.2500
0.2500 0.7500 0.7500
0.7500 0.2500 0.7500
0.7500 0.7500 0.2500
0.2500 0.2500 0.7500
0.2500 0.7500 0.2500
0.7500 0.2500 0.2500
0.7500 0.7500 0.7500
```

=====

Material: Hf3TiCo2N
Method: DFT, PBE
State: optimized geometry

Computed properties:
Calculated volume   15.778 Å³ per atom
Formation energy (no corrections)   -593.3 meV/atom
Final energy   -128.891 eV/cell

Structure (POSCAR):
```
Hf3TiCo2N
1.0
4.0359 0.0000 0.0000
0.0000 4.2983 0.0000
0.0000 0.0000 12.7336
Hf Ti Co N
6 2 4 2
direct
0.0000 0.0000 0.0000
0.0000 0.5000 0.1829
0.0000 0.5000 0.8171
0.5000 0.0000 0.3171
0.5000 0.0000 0.6829
0.5000 0.5000 0.5000
0.0000 0.0000 0.5000
0.5000 0.5000 0.0000
0.0000 0.5000 0.3720
0.0000 0.5000 0.6280
0.5000 0.0000 0.1280
0.5000 0.0000 0.8720
0.0000 0.5000 0.0000
0.5000 0.0000 0.5000
```

=====

Material: KTa2Co
Method: DFT, PBE
State: optimized geometry

Computed properties:
Energy of formation   873 meV/atom
Calculated volume   20.244 Å³ per atom
Final energy   -56.835 eV/cell
E above lowest polymorph   352 meV per atom

Structure (POSCAR):
```
KTa2Co
1.0
2.7132 0.0000 0.0000
0.0000 5.3877 0.0000
0.0000 0.0000 11.0789
K Ta Co
2 4 2
direct
0.0000 0.0000 0.0000
0.5000 0.5000 0.5000
0.0000 0.5000 0.1977
0.0000 0.5000 0.8023
0.5000 0.0000 0.3023
0.5000 0.0000 0.6977
0.0000 0.0000 0.5000
0.5000 0.5000 0.0000
```

=====

Material: Zr2TlOs
Method: DFT, PBE
State: optimized geometry

Computed properties:
Energy of formation   -14 meV/atom
Calculated volume   21.384 Å³ per atom
Final energy   -92.247 eV/cell
E above lowest polymorph   243 meV per atom

Structure (POSCAR):
```
Zr2TlOs
1.0
3.2995 0.0000 0.0000
-1.6497 2.8574 0.0000
0.0000 0.0000 27.2181
Zr Tl Os
6 3 3
direct
0.0000 0.0000 0.2389
0.0000 0.0000 0.7611
0.3333 0.6667 0.4277
0.3333 0.6667 0.9056
0.6667 0.3333 0.0944
0.6667 0.3333 0.5723
0.0000 0.0000 0.0000
0.3333 0.6667 0.6667
0.6667 0.3333 0.3333
0.0000 0.0000 0.5000
0.3333 0.6667 0.1667
0.6667 0.3333 0.8333
```

=====

Material: CaZnInAg3
Method: DFT, PBE
State: optimized geometry

Computed properties:
Energy of formation   -37 meV/atom
Calculated volume   23.929 Å³ per atom
Final energy   -29.578 eV/cell

Structure (POSCAR):
```
CaZnInAg3
1.0
4.0337 -5.9941 0.0000
4.0337 5.9941 0.0000
0.0000 0.0000 5.9379
Ca Zn In Ag
2 2 2 6
direct
0.1883 0.8117 0.7500
0.8117 0.1883 0.2500
0.4318 0.5682 0.7500
0.5682 0.4318 0.2500
0.1074 0.8926 0.2500
0.8926 0.1074 0.7500
0.2518 0.2518 0.0000
0.2518 0.2518 0.5000
0.3421 0.6579 0.2500
0.6579 0.3421 0.7500
0.7482 0.7482 0.0000
0.7482 0.7482 0.5000
```

=====

Material: Ac2Te2F
Method: DFT, PBE
State: optimized geometry

Computed properties:
Calculated volume   34.253 Å³ per atom
Formation energy (no corrections)   -2172.1 meV/atom
Final energy   -54.464 eV/cell
E above lowest polymorph   0 meV per atom

Structure (POSCAR):
```
Ac2Te2F
1.0
6.9217 -3.3187 0.0000
6.9217 3.3187 0.0000
-5.7983 0.0000 7.4557
Ac Te F
4 4 2
direct
0.0788 0.0788 0.3473
0.3251 0.3251 0.9319
0.6749 0.6749 0.0681
0.9212 0.9212 0.6527
0.1769 0.1769 0.0960
0.4006 0.4006 0.6515
0.5994 0.5994 0.3485
0.8231 0.8231 0.9040
0.1133 0.1133 0.6466
0.8867 0.8867 0.3534
```

=====

Material: Zn2Cu3
Method: DFT, PBE
State: optimized geometry

Computed properties:
Energy of formation   -32 meV/atom
Calculated volume   12.881 Å³ per atom
Final energy   -44.989 eV/cell
E above lowest polymorph   43 meV per atom

Structure (POSCAR):
```
Zn2Cu3
1.0
2.6656 0.0000 0.0000
-1.3328 2.3084 0.0000
0.0000 0.0000 31.3991
Zn Cu
6 9
direct
0.0000 0.0000 0.0996
0.0000 0.0000 0.9004
0.3333 0.6667 0.5671
0.3333 0.6667 0.7662
0.6667 0.3333 0.2338
0.6667 0.3333 0.4329
0.0000 0.0000 0.3010
0.0000 0.0000 0.5000
0.0000 0.0000 0.6990
0.3333 0.6667 0.1667
0.3333 0.6667 0.3657
0.3333 0.6667 0.9676
0.6667 0.3333 0.0324
0.6667 0.3333 0.6343
0.6667 0.3333 0.8333
```

=====

Material: SrCaRu
Method: DFT, PBE
State: optimized geometry

Computed properties:
Energy of formation   301 meV/atom
Calculated volume   29.357 Å³ per atom
Final energy   -48.225 eV/cell
E above lowest polymorph   239 meV per atom

Structure (POSCAR):
```
SrCaRu
1.0
5.0391 0.0000 0.0000
0.0000 5.0463 0.0000
0.0000 0.0000 13.8539
Sr Ca Ru
4 4 4
direct
0.0000 0.0000 0.0000
0.0000 0.5000 0.5000
0.5000 0.0000 0.5000
0.5000 0.5000 0.0000
0.0000 0.0000 0.7545
0.0000 0.5000 0.2545
0.5000 0.0000 0.2545
0.5000 0.5000 0.7545
0.0000 0.0000 0.3682
0.0000 0.5000 0.8682
0.5000 0.0000 0.8682
0.5000 0.5000 0.3682
```

=====

Material: ScAlRe2
Method: DFT, PBE
State: optimized geometry

Computed properties:
Energy of formation   20 meV/atom
Calculated volume   16.634 Å³ per atom
Final energy   -104.666 eV/cell

Structure (POSCAR):
```
ScAlRe2
1.0
2.8947 0.0000 0.0000
-1.4473 2.5069 0.0000
0.0000 0.0000 27.5077
Sc Al Re
3 3 6
direct
0.0000 0.0000 0.0000
0.3333 0.6667 0.6667
0.6667 0.3333 0.3333
0.0000 0.0000 0.2397
0.3333 0.6667 0.9064
0.6667 0.3333 0.5730
0.0000 0.0000 0.4952
0.0000 0.0000 0.7527
0.3333 0.6667 0.1618
0.3333 0.6667 0.4194
0.6667 0.3333 0.0860
0.6667 0.3333 0.8285
```